The following is a DFT calculation (GGA-PBE) of crystalline BaAs5 at its relaxed geometry.

Summary:
ΔE_f = -232 meV per atom
Electronic total energy = -4.4274 eV/atom

Geometry as CIF:
```
data_BaAs5
_chemical_formula_sum 'Ba2 As10'
_symmetry_space_group_name_H-M 'A m m 2'
_symmetry_Int_Tables_number 38
_cell_length_a 5.077
_cell_length_b 5.246
_cell_length_c 11.648
_cell_angle_alpha 90.00
_cell_angle_beta 90.00
_cell_angle_gamma 90.00
loop_
_symmetry_equiv_pos_as_xyz
'x,y,z'
'-x,-y,z'
'-x,y,z'
'x,-y,z'
'x,y+1/2,z+1/2'
'-x,-y+1/2,z+1/2'
'-x,y+1/2,z+1/2'
'x,-y+1/2,z+1/2'
loop_
_atom_site_label
_atom_site_type_symbol
_atom_site_fract_x
_atom_site_fract_y
_atom_site_fract_z
Ba1 Ba 0.000 0.000 0.000
As1 As 0.000 0.000 0.293
As2 As 0.000 0.000 0.712
As3 As 0.500 0.000 0.205
As4 As 0.500 0.000 0.417
As5 As 0.500 0.000 0.783
```



The following is a DFT calculation (GGA-PBE) of crystalline BaAs5 at its relaxed geometry.

Summary:
ΔE_f = 17 meV per atom
Electronic total energy = -4.1779 eV/atom

Geometry as CIF:
```
data_BaAs5
_chemical_formula_sum 'Ba1 As5'
_symmetry_space_group_name_H-M 'P 4/m m m'
_symmetry_Int_Tables_number 123
_symmetry_space_group_name_Hall '-P 4 2'
_cell_length_a 3.734
_cell_length_b 3.734
_cell_length_c 10.182
_cell_angle_alpha 90.00
_cell_angle_beta 90.00
_cell_angle_gamma 90.00
loop_
_atom_site_label
_atom_site_type_symbol
_atom_site_fract_x
_atom_site_fract_y
_atom_site_fract_z
Ba1 Ba 0.000 0.000 0.000
As1 As 0.000 0.000 0.322
As2 As 0.500 0.500 0.231
As3 As 0.500 0.500 0.500
```



The following is a DFT calculation (GGA-PBE) of crystalline Ba5As4 at its relaxed geometry.

Summary:
ΔE_f = -470 meV per atom
Electronic total energy = -3.6046 eV/atom

Geometry as CIF:
```
data_Ba5As4
_chemical_formula_sum 'Ba10 As8'
_symmetry_space_group_name_H-M 'I 4/m m m'
_symmetry_Int_Tables_number 139
_symmetry_space_group_name_Hall '-I 4 2'
_cell_length_a 11.156
_cell_length_b 11.156
_cell_length_c 5.654
_cell_angle_alpha 90.00
_cell_angle_beta 90.00
_cell_angle_gamma 90.00
loop_
_atom_site_label
_atom_site_type_symbol
_atom_site_fract_x
_atom_site_fract_y
_atom_site_fract_z
Ba1 Ba 0.000 0.000 0.000
Ba2 Ba 0.189 0.189 0.500
As1 As 0.000 0.270 0.000
```



The following is a DFT calculation (GGA-PBE) of crystalline BaAs5 at its relaxed geometry.

Summary:
ΔE_f = -79 meV per atom
Electronic total energy = -4.2741 eV/atom

Geometry as CIF:
```
data_BaAs5
_chemical_formula_sum 'Ba4 As20'
_symmetry_space_group_name_H-M 'F -4 3 m'
_symmetry_Int_Tables_number 216
_symmetry_space_group_name_Hall 'F -4 2 3'
_cell_length_a 8.452
_cell_length_b 8.452
_cell_length_c 8.452
_cell_angle_alpha 90.00
_cell_angle_beta 90.00
_cell_angle_gamma 90.00
loop_
_atom_site_label
_atom_site_type_symbol
_atom_site_fract_x
_atom_site_fract_y
_atom_site_fract_z
Ba1 Ba 0.000 0.000 0.000
As1 As 0.107 0.107 0.393
As2 As 0.250 0.250 0.750
```



The following is a DFT calculation (GGA-PBE) of crystalline Ba3As at its relaxed geometry.

Summary:
ΔE_f = -577 meV per atom
Electronic total energy = -3.1815 eV/atom

Geometry as CIF:
```
data_Ba3As
_chemical_formula_sum 'Ba6 As2'
_symmetry_space_group_name_H-M 'I m m m'
_symmetry_Int_Tables_number 71
_symmetry_space_group_name_Hall '-I 2 2'
_cell_length_a 4.232
_cell_length_b 5.645
_cell_length_c 16.165
_cell_angle_alpha 90.00
_cell_angle_beta 90.00
_cell_angle_gamma 90.00
loop_
_atom_site_label
_atom_site_type_symbol
_atom_site_fract_x
_atom_site_fract_y
_atom_site_fract_z
Ba1 Ba 0.000 0.000 0.000
Ba2 Ba 0.000 0.500 0.158
As1 As 0.000 0.000 0.500
```



The following is a DFT calculation (GGA-PBE) of crystalline Ba3As at its relaxed geometry.

Summary:
ΔE_f = -433 meV per atom
Electronic total energy = -3.0374 eV/atom

Geometry as CIF:
```
data_Ba3As
_chemical_formula_sum 'Ba3 As1'
_symmetry_space_group_name_H-M 'P m -3 m'
_symmetry_Int_Tables_number 221
_symmetry_space_group_name_Hall '-P 4 2 3'
_cell_length_a 6.497
_cell_length_b 6.497
_cell_length_c 6.497
_cell_angle_alpha 90.00
_cell_angle_beta 90.00
_cell_angle_gamma 90.00
loop_
_atom_site_label
_atom_site_type_symbol
_atom_site_fract_x
_atom_site_fract_y
_atom_site_fract_z
Ba1 Ba 0.000 0.000 0.500
As1 As 0.000 0.000 0.000
```



The following is a DFT calculation (GGA-PBE) of crystalline Ba5As3 at its relaxed geometry.

Summary:
ΔE_f = -964 meV per atom
Electronic total energy = -3.9088 eV/atom

Geometry as CIF:
```
data_Ba5As3
_chemical_formula_sum 'Ba20 As12'
_symmetry_space_group_name_H-M 'C 1 2/m 1'
_symmetry_Int_Tables_number 12
_cell_length_a 8.040
_cell_length_b 17.802
_cell_length_c 9.030
_cell_angle_alpha 90.00
_cell_angle_beta 105.16
_cell_angle_gamma 90.00
loop_
_symmetry_equiv_pos_as_xyz
'x,y,z'
'-x,-y,-z'
'-x,y,-z'
'x,-y,z'
'x+1/2,y+1/2,z'
'-x+1/2,-y+1/2,-z'
'-x+1/2,y+1/2,-z'
'x+1/2,-y+1/2,z'
loop_
_atom_site_label
_atom_site_type_symbol
_atom_site_fract_x
_atom_site_fract_y
_atom_site_fract_z
Ba1 Ba 0.186 0.193 0.209
Ba2 Ba 0.221 0.500 0.968
Ba3 Ba 0.244 0.393 0.395
As1 As 0.000 0.253 0.500
As2 As 0.000 0.342 0.000
As3 As 0.047 0.000 0.276
```



The following is a DFT calculation (GGA-PBE) of crystalline Ba5As3 at its relaxed geometry.

Summary:
ΔE_f = -1012 meV per atom
Electronic total energy = -3.9568 eV/atom

Geometry as CIF:
```
data_Ba5As3
_chemical_formula_sum 'Ba10 As6'
_symmetry_space_group_name_H-M 'P 63/m c m'
_symmetry_Int_Tables_number 193
_symmetry_space_group_name_Hall '-P 6c 2'
_cell_length_a 9.5571
_cell_length_b 9.5571
_cell_length_c 7.8115
_cell_angle_alpha 90.00
_cell_angle_beta 90.00
_cell_angle_gamma 120.00
loop_
_atom_site_label
_atom_site_type_symbol
_atom_site_fract_x
_atom_site_fract_y
_atom_site_fract_z
Ba1 Ba 0.0000 0.2576 0.2500
Ba2 Ba 0.3333 0.6667 0.0000
As1 As 0.0000 0.3929 0.7500
```